No. 1
First-principles (GGA-PBE) data for a geometry-optimized AcSm2Rh structure, as listed in Alexandria.

Results
Total magnetic moment (μB per atom): 0.0001
Uncorrected energy (eV per formula unit): -22.3
E_form (eV/atom): -0.347

Lattice parameters (Å, degrees): 4.054 4.054 9.771 78.03 78.03 60.00
Fractional coordinates of all 4 atoms:
Ac1 0.501 0.501 0.496
Sm1 0.054 0.054 0.838
Sm2 0.279 0.279 0.164
Rh1 0.666 0.666 0.001

No. 2
First-principles (GGA-PBE) data for a geometry-optimized AcSm2Rh structure, as listed in Alexandria.

Results
Total magnetic moment (μB per atom): 0.0000
Uncorrected energy (eV per formula unit): -22.2
E_form (eV/atom): -0.316

Lattice parameters (Å, degrees): 3.634 3.634 9.169 90.00 90.00 90.00
Fractional coordinates of all 4 atoms:
Ac1 0.500 0.500 0.500
Rh1 0.500 0.500 0.000
Sm1 0.000 0.000 0.822
Sm2 0.000 0.000 0.178